LaSc2RhBr GGA-PBE relaxed; raw formation energy = -0.036 eV/atom; space group = P4/mmm (123); final energy = -5.3593 eV/atom; density of states at the Fermi level = 5.43 states/eV/f.u.; theoretical density = 5.5 Mg/m³; total magnetization = 0.000 Bohr magnetons per cell
1.0
5.0194 0.0000 0.0000
0.0000 5.0194 0.0000
0.0000 0.0000 4.9420
La Sc Rh Br
1 2 1 1
Cartesian
0.0000 0.0000 0.0000 La
0.0000 2.5097 2.4710 Sc
2.5097 0.0000 2.4710 Sc
2.5097 2.5097 0.0000 Rh
2.5097 2.5097 2.4710 Br